Entry from the Alexandria database: crystalline Cs2NbVO6 at its relaxed geometry (PBE+U).

Calculated values
Total energy in eV/atom: -6.8173
Crystal system: trigonal

a b c (Å): 6.0690 6.0690 28.7339
angles (deg): 90.00 90.00 120.00
Last column: nearest neighbours and their distance in Å.
Space group R-3m (No. 166, hexagonal axes)
Unique sites:
Cs1 0.0000 0.0000 0.1312 x6  12 O 3.07-3.19
Cs2 0.0000 0.0000 0.2834 x6  12 O 2.84-3.08
Nb1 0.0000 0.0000 0.0000 x3  6 O 2.10
Nb2 0.0000 0.0000 0.5000 x3  6 O 2.01
V1 0.0000 0.0000 0.4049 x6  6 O 1.96-1.97
O1 0.0052 0.5026 0.2944 x18  1 V 1.96, 1 Nb 2.10
O2 0.0578 0.5289 0.1181 x18  1 V 1.97, 1 Nb 2.01